HClF: relaxed, GGA-PBE.

Lattice parameters (Å, degrees): 2.3272 3.5094 13.4347 82.86 86.66 89.44
Fractional coordinates of all 6 atoms:
H 0.2224 0.1402 0.1077
H 0.7776 0.8598 0.8923
Cl 0.0473 0.5794 0.3552
Cl 0.9527 0.4206 0.6448
F 0.3653 0.7973 0.8925
F 0.6347 0.2027 0.1075

Results
SG: No. 2
offset from the most stable computed form: 0.000 eV per atom

---

La2Pd2Se: relaxed, GGA-PBE.

Lattice parameters (Å, degrees): 7.9038 7.9038 3.8698 90.00 90.00 90.00
Fractional coordinates of all 10 atoms:
La 0.1827 0.3173 0.0000
La 0.3173 0.8173 0.0000
La 0.6827 0.1827 0.0000
La 0.8173 0.6827 0.0000
Pd 0.1214 0.6214 0.5000
Pd 0.3786 0.1214 0.5000
Pd 0.6214 0.8786 0.5000
Pd 0.8786 0.3786 0.5000
Se 0.0000 0.0000 0.5000
Se 0.5000 0.5000 0.5000

Results
SG: No. 127
offset from the most stable computed form: 0.163 eV per atom

---

Ca2Tl2Pb3: relaxed, GGA-PBE.

Lattice parameters (Å, degrees): 11.5453 4.4617 9.9028 90.00 118.29 90.00
Fractional coordinates of all 14 atoms:
Ca 0.2114 0.0000 0.2776
Ca 0.2886 0.5000 0.7224
Ca 0.7114 0.5000 0.2776
Ca 0.7886 0.0000 0.7224
Tl 0.1495 0.0000 0.8695
Tl 0.3505 0.5000 0.1305
Tl 0.6495 0.5000 0.8695
Tl 0.8505 0.0000 0.1305
Pb 0.0000 0.5000 0.0000
Pb 0.0383 0.5000 0.3654
Pb 0.4617 0.0000 0.6347
Pb 0.5000 0.0000 0.0000
Pb 0.5383 0.0000 0.3654
Pb 0.9617 0.5000 0.6347

Results
SG: No. 12
energy of formation from the pure elements: -1.53 eV per formula unit
offset from the most stable computed form: 0.019 eV per atom

---

Ce2NdUN4: relaxed, GGA-PBE.

Lattice parameters (Å, degrees): 5.0341 5.0341 10.0128 90.00 90.00 90.00
Fractional coordinates of all 16 atoms:
Ce 0.0000 0.0000 0.0000
Ce 0.0000 0.5000 0.2500
Ce 0.5000 0.0000 0.7500
Ce 0.5000 0.5000 0.5000
Nd 0.0000 0.5000 0.7500
Nd 0.5000 0.0000 0.2500
U 0.0000 0.0000 0.5000
U 0.5000 0.5000 0.0000
N 0.0000 0.0000 0.2753
N 0.0000 0.0000 0.7247
N 0.0000 0.5000 0.0052
N 0.0000 0.5000 0.4948
N 0.5000 0.0000 0.5052
N 0.5000 0.0000 0.9948
N 0.5000 0.5000 0.2247
N 0.5000 0.5000 0.7753

Results
SG: No. 119
electronic total energy: -72.559 eV per formula unit

---

Mn2CdCl: relaxed, GGA-PBE.

Lattice parameters (Å, degrees): 5.8767 8.1818 3.0941 90.00 90.00 90.00
Fractional coordinates of all 8 atoms:
Mn 0.2500 0.2500 0.0000
Mn 0.2500 0.7500 0.0000
Mn 0.7500 0.2500 0.0000
Mn 0.7500 0.7500 0.0000
Cd 0.0000 0.0000 0.5000
Cd 0.5000 0.5000 0.5000
Cl 0.0000 0.5000 0.5000
Cl 0.5000 0.0000 0.5000

Results
SG: No. 65
offset from the most stable computed form: 0.323 eV per atom

---

LaHfCr2: relaxed, GGA-PBE.

Lattice parameters (Å, degrees): 6.9009 6.9009 6.9009 90.00 90.00 90.00
Fractional coordinates of all 16 atoms:
La 0.0000 0.0000 0.0000
La 0.0000 0.5000 0.5000
La 0.5000 0.0000 0.5000
La 0.5000 0.5000 0.0000
Hf 0.0000 0.0000 0.5000
Hf 0.0000 0.5000 0.0000
Hf 0.5000 0.0000 0.0000
Hf 0.5000 0.5000 0.5000
Cr 0.2500 0.2500 0.2500
Cr 0.2500 0.2500 0.7500
Cr 0.2500 0.7500 0.2500
Cr 0.2500 0.7500 0.7500
Cr 0.7500 0.2500 0.2500
Cr 0.7500 0.2500 0.7500
Cr 0.7500 0.7500 0.2500
Cr 0.7500 0.7500 0.7500

Results
SG: No. 225
energy of formation from the pure elements: 1.95 eV per formula unit
offset from the most stable computed form: 0.000 eV per atom

---

Ba2LiCuI: relaxed, GGA-PBE.

Lattice parameters (Å, degrees): 6.3275 6.3275 4.7877 90.00 90.00 90.00
Fractional coordinates of all 5 atoms:
Ba 0.0000 0.5000 0.0000
Ba 0.5000 0.0000 0.0000
Li 0.0000 0.0000 0.5000
Cu 0.0000 0.0000 0.0000
I 0.5000 0.5000 0.5000

Results
SG: No. 123
electronic total energy: -13.336 eV per formula unit

---

Tb5TmTh4: relaxed, GGA-PBE.

Lattice parameters (Å, degrees): 8.6765 8.6765 11.6095 109.47 109.47 23.18
Fractional coordinates of all 10 atoms:
Tb 0.0000 0.0000 0.0000
Tb 0.2912 0.2912 0.3862
Tb 0.3067 0.3067 0.9132
Tb 0.6933 0.6933 0.0868
Tb 0.7088 0.7088 0.6138
Tm 0.0000 0.0000 0.5000
Th 0.0982 0.0982 0.7949
Th 0.4111 0.4111 0.7038
Th 0.5889 0.5889 0.2962
Th 0.9018 0.9018 0.2051

Results
SG: No. 12
energy of formation from the pure elements: 1.11 eV per formula unit

---

Rh3AuO: relaxed, GGA-PBE.

Lattice parameters (Å, degrees): 4.1498 4.1498 4.1498 90.00 90.00 90.00
Fractional coordinates of all 5 atoms:
Rh 0.0000 0.0000 0.5000
Rh 0.0000 0.5000 0.0000
Rh 0.5000 0.0000 0.0000
Au 0.5000 0.5000 0.5000
O 0.0000 0.0000 0.0000

Results
SG: No. 221
offset from the most stable computed form: 0.000 eV per atom

---

TeAsN2F: relaxed, GGA-PBE.

Lattice parameters (Å, degrees): 4.0811 4.0811 3.9335 90.00 90.00 90.00
Fractional coordinates of all 5 atoms:
Te 0.0000 0.0000 0.0000
As 0.5000 0.5000 0.5000
N 0.0000 0.5000 0.5000
N 0.5000 0.0000 0.5000
F 0.5000 0.5000 0.0000

Results
SG: No. 123
offset from the most stable computed form: 0.000 eV per atom

---

LaHfAu: relaxed, GGA-PBE.

Lattice parameters (Å, degrees): 3.5108 5.1145 8.5150 90.68 101.88 90.01
Fractional coordinates of all 6 atoms:
La 0.0000 0.0000 0.0000
La 0.1413 0.5091 0.2794
Hf 0.7023 0.0088 0.4018
Hf 0.8198 0.4983 0.6396
Au 0.3335 0.9853 0.6648
Au 0.4532 0.4972 0.9071

Results
SG: No. 1
energy of formation from the pure elements: -0.86 eV per formula unit
offset from the most stable computed form: 0.119 eV per atom

---

TbCeRu: relaxed, GGA-PBE.

Lattice parameters (Å, degrees): 3.3882 3.3882 13.1966 90.00 90.00 90.00
Fractional coordinates of all 6 atoms:
Tb 0.0000 0.0000 0.0000
Tb 0.5000 0.5000 0.5000
Ce 0.0000 0.0000 0.2580
Ce 0.5000 0.5000 0.7580
Ru 0.0000 0.0000 0.6321
Ru 0.5000 0.5000 0.1321

Results
SG: No. 107
energy of formation from the pure elements: -0.68 eV per formula unit
offset from the most stable computed form: 0.028 eV per atom

---

Tb3Tm6Zr: relaxed, GGA-PBE.

Lattice parameters (Å, degrees): 10.7713 10.7713 6.0604 90.00 90.00 119.69
Fractional coordinates of all 20 atoms:
Tb 0.1127 0.8873 0.5000
Tb 0.2180 0.4438 0.8813
Tb 0.4438 0.2180 0.3813
Tb 0.5562 0.7820 0.8813
Tb 0.7820 0.5562 0.3813
Tb 0.8873 0.1127 0.0000
Tm 0.0422 0.4591 0.3162
Tm 0.1179 0.2070 0.4703
Tm 0.2070 0.1179 0.9703
Tm 0.2243 0.7757 0.0816
Tm 0.4481 0.5519 0.3584
Tm 0.4591 0.0422 0.8162
Tm 0.5409 0.9578 0.3162
Tm 0.5519 0.4481 0.8584
Tm 0.7757 0.2243 0.5816
Tm 0.7930 0.8821 0.4703
Tm 0.8821 0.7930 0.9703
Tm 0.9578 0.5409 0.8162
Zr 0.2895 0.7105 0.5882
Zr 0.7105 0.2895 0.0882

Results
SG: No. 36
energy of formation from the pure elements: 1.49 eV per formula unit
offset from the most stable computed form: 0.109 eV per atom

---

HoCoRu: relaxed, GGA-PBE.

Lattice parameters (Å, degrees): 4.0288 4.0288 3.9784 90.00 90.00 120.00
Fractional coordinates of all 3 atoms:
Ho 0.0000 0.0000 0.0000
Co 0.3333 0.6667 0.5000
Ru 0.6667 0.3333 0.5000

Results
SG: No. 187
energy of formation from the pure elements: -0.39 eV per formula unit
offset from the most stable computed form: 0.149 eV per atom

---

UHg4I5: relaxed, GGA-PBE.

Lattice parameters (Å, degrees): 9.3158 9.3158 9.3158 96.08 96.08 142.01
Fractional coordinates of all 10 atoms:
U 0.0000 0.0000 0.0000
Hg 0.1084 0.4265 0.5349
Hg 0.4265 0.8916 0.3180
Hg 0.5735 0.1084 0.6820
Hg 0.8916 0.5735 0.4651
I 0.1225 0.8033 0.9259
I 0.1967 0.1225 0.3192
I 0.5000 0.5000 0.0000
I 0.8033 0.8775 0.6808
I 0.8775 0.1967 0.0741

Results
SG: No. 87
electronic total energy: -24.164 eV per formula unit

---

Ac2SiIrRu: relaxed, GGA-PBE.

Lattice parameters (Å, degrees): 4.3082 4.3082 14.0387 90.00 90.00 90.00
Fractional coordinates of all 10 atoms:
Ac 0.2500 0.2500 0.1008
Ac 0.2500 0.2500 0.6755
Ac 0.7500 0.7500 0.3245
Ac 0.7500 0.7500 0.8992
Si 0.2500 0.2500 0.4208
Si 0.7500 0.7500 0.5792
Ir 0.2500 0.2500 0.8817
Ir 0.7500 0.7500 0.1183
Ru 0.2500 0.7500 0.5000
Ru 0.7500 0.2500 0.5000

Results
SG: No. 129
electronic total energy: -35.179 eV per formula unit

---

HoTm2Hg: relaxed, GGA-PBE.

Lattice parameters (Å, degrees): 3.5499 3.5499 8.8506 90.00 90.00 90.00
Fractional coordinates of all 4 atoms:
Ho 0.0000 0.0000 0.0000
Tm 0.5000 0.5000 0.2764
Tm 0.5000 0.5000 0.7236
Hg 0.0000 0.0000 0.5000

Results
SG: No. 123
energy of formation from the pure elements: -0.91 eV per formula unit
offset from the most stable computed form: 0.000 eV per atom

---

BaCaInCu: relaxed, GGA-PBE.

Lattice parameters (Å, degrees): 7.9238 7.9238 7.9238 90.00 90.00 90.00
Fractional coordinates of all 16 atoms:
Ba 0.0000 0.0000 0.0000
Ba 0.0000 0.5000 0.5000
Ba 0.5000 0.0000 0.5000
Ba 0.5000 0.5000 0.0000
Ca 0.0000 0.0000 0.5000
Ca 0.0000 0.5000 0.0000
Ca 0.5000 0.0000 0.0000
Ca 0.5000 0.5000 0.5000
In 0.2500 0.2500 0.7500
In 0.2500 0.7500 0.2500
In 0.7500 0.2500 0.2500
In 0.7500 0.7500 0.7500
Cu 0.2500 0.2500 0.2500
Cu 0.2500 0.7500 0.7500
Cu 0.7500 0.2500 0.7500
Cu 0.7500 0.7500 0.2500

Results
SG: No. 216
energy of formation from the pure elements: -0.46 eV per formula unit

---

MnV2HPd: relaxed, GGA-PBE.

Lattice parameters (Å, degrees): 3.8163 3.8163 3.8114 90.00 90.00 90.00
Fractional coordinates of all 5 atoms:
Mn 0.0000 0.0000 0.0000
V 0.0000 0.5000 0.5000
V 0.5000 0.0000 0.5000
H 0.0000 0.0000 0.5000
Pd 0.5000 0.5000 0.0000

Results
SG: No. 123
electronic total energy: -36.434 eV per formula unit

---

SnMoSCl2: relaxed, GGA-PBE.

Lattice parameters (Å, degrees): 5.2268 5.2268 5.1791 90.00 90.00 90.00
Fractional coordinates of all 5 atoms:
Sn 0.0000 0.0000 0.0000
Mo 0.5000 0.5000 0.5000
S 0.0000 0.0000 0.5000
Cl 0.0000 0.5000 0.0000
Cl 0.5000 0.0000 0.0000

Results
SG: No. 123
offset from the most stable computed form: 0.576 eV per atom

---

KCaTa: relaxed, GGA-PBE.

Lattice parameters (Å, degrees): 8.0441 8.0441 8.0441 90.00 90.00 90.00
Fractional coordinates of all 12 atoms:
K 0.0000 0.0000 0.0000
K 0.0000 0.5000 0.5000
K 0.5000 0.0000 0.5000
K 0.5000 0.5000 0.0000
Ca 0.0000 0.0000 0.5000
Ca 0.0000 0.5000 0.0000
Ca 0.5000 0.0000 0.0000
Ca 0.5000 0.5000 0.5000
Ta 0.2500 0.2500 0.7500
Ta 0.2500 0.7500 0.2500
Ta 0.7500 0.2500 0.2500
Ta 0.7500 0.7500 0.7500

Results
SG: No. 216
energy of formation from the pure elements: 5.40 eV per formula unit
offset from the most stable computed form: 1.468 eV per atom

---

TlFeC2Cl: relaxed, GGA-PBE.

Lattice parameters (Å, degrees): 4.2356 4.2356 4.1678 90.00 90.00 90.00
Fractional coordinates of all 5 atoms:
Tl 0.0000 0.0000 0.0000
Fe 0.5000 0.5000 0.0000
C 0.0000 0.5000 0.5000
C 0.5000 0.0000 0.5000
Cl 0.5000 0.5000 0.5000

Results
SG: No. 123
offset from the most stable computed form: 0.000 eV per atom

---

PdPb4Au: relaxed, GGA-PBE.

Lattice parameters (Å, degrees): 7.9560 7.9560 7.9560 127.08 127.08 78.12
Fractional coordinates of all 12 atoms:
Pd 0.2500 0.2500 0.0000
Pd 0.7500 0.7500 0.0000
Pb 0.0277 0.5277 0.8268
Pb 0.2010 0.0277 0.5000
Pb 0.2990 0.7990 0.8268
Pb 0.4723 0.2990 0.5000
Pb 0.5277 0.7010 0.5000
Pb 0.7010 0.2010 0.1732
Pb 0.7990 0.9723 0.5000
Pb 0.9723 0.4723 0.1732
Au 0.0000 0.0000 0.0000
Au 0.5000 0.5000 0.0000

Results
SG: No. 140
energy of formation from the pure elements: -0.65 eV per formula unit
offset from the most stable computed form: 0.028 eV per atom

---

Pu2VCd: relaxed, GGA-PBE.

Lattice parameters (Å, degrees): 3.0839 3.0839 33.2233 90.00 90.00 120.00
Fractional coordinates of all 12 atoms:
Pu 0.0000 0.0000 0.0977
Pu 0.0000 0.0000 0.9023
Pu 0.3333 0.6667 0.5690
Pu 0.3333 0.6667 0.7643
Pu 0.6667 0.3333 0.2357
Pu 0.6667 0.3333 0.4310
V 0.0000 0.0000 0.5000
V 0.3333 0.6667 0.1667
V 0.6667 0.3333 0.8333
Cd 0.0000 0.0000 0.0000
Cd 0.3333 0.6667 0.6667
Cd 0.6667 0.3333 0.3333

Results
SG: No. 166
energy of formation from the pure elements: 1.68 eV per formula unit

---

LiCaLa3: relaxed, GGA-PBE.

Lattice parameters (Å, degrees): 5.9805 5.9805 5.9805 90.00 90.00 90.00
Fractional coordinates of all 5 atoms:
Li 0.0000 0.0000 0.0000
Ca 0.5000 0.5000 0.5000
La 0.0000 0.5000 0.5000
La 0.5000 0.0000 0.5000
La 0.5000 0.5000 0.0000

Results
SG: No. 221
energy of formation from the pure elements: 3.99 eV per formula unit
offset from the most stable computed form: 0.434 eV per atom

---

Te5Pt: relaxed, GGA-PBE.

Lattice parameters (Å, degrees): 5.3382 3.8690 18.5088 90.00 90.00 90.00
Fractional coordinates of all 12 atoms:
Te 0.0000 0.0000 0.0000
Te 0.0000 0.0000 0.1992
Te 0.0000 0.5000 0.5000
Te 0.0000 0.5000 0.6992
Te 0.5000 0.0000 0.1259
Te 0.5000 0.0000 0.4137
Te 0.5000 0.0000 0.8025
Te 0.5000 0.5000 0.3025
Te 0.5000 0.5000 0.6259
Te 0.5000 0.5000 0.9137
Pt 0.0000 0.0000 0.5986
Pt 0.0000 0.5000 0.0986

Results
SG: No. 38
offset from the most stable computed form: 0.225 eV per atom